# YCo3As3, optimized geometry, DFT GGA-PBE
data_YCo3As3
_cell_length_a 6.346
_cell_length_b 6.346
_cell_length_c 6.346
_cell_angle_alpha 90.00
_cell_angle_beta 90.00
_cell_angle_gamma 90.00
_symmetry_space_group_name_H-M 'P 1'
_symmetry_Int_Tables_number 1
loop_
_symmetry_equiv_pos_as_xyz
'x,y,z'
loop_
_atom_site_label
_atom_site_type_symbol
_atom_site_fract_x
_atom_site_fract_y
_atom_site_fract_z
Y1 Y 0.000 0.000 0.000
Y2 Y 0.500 0.500 0.500
Co1 Co 0.000 0.250 0.500
Co2 Co 0.000 0.750 0.500
Co3 Co 0.250 0.500 0.000
Co4 Co 0.500 0.000 0.250
Co5 Co 0.500 0.000 0.750
Co6 Co 0.750 0.500 0.000
As1 As 0.000 0.500 0.250
As2 As 0.000 0.500 0.750
As3 As 0.250 0.000 0.500
As4 As 0.500 0.250 0.000
As5 As 0.500 0.750 0.000
As6 As 0.750 0.000 0.500
# - space group = Pm-3n
# - size of the total moment (μB/f.u.) = 0.00
# - energy (eV per cell) = -86.6
# - ΔH_f (0 K) (meV per atom) = -221.3

***

# Sm2ZnSi4Rh3, optimized geometry, DFT GGA-PBE
data_Sm2ZnSi4Rh3
_cell_length_a 4.157
_cell_length_b 4.157
_cell_length_c 10.004
_cell_angle_alpha 90.00
_cell_angle_beta 90.00
_cell_angle_gamma 90.00
_symmetry_space_group_name_H-M 'P 1'
_symmetry_Int_Tables_number 1
loop_
_symmetry_equiv_pos_as_xyz
'x,y,z'
loop_
_atom_site_label
_atom_site_type_symbol
_atom_site_fract_x
_atom_site_fract_y
_atom_site_fract_z
Sm1 Sm 0.000 0.500 0.244
Sm2 Sm 0.500 0.000 0.756
Zn1 Zn 0.000 0.000 0.500
Si1 Si 0.000 0.000 0.000
Si2 Si 0.000 0.500 0.639
Si3 Si 0.500 0.000 0.361
Si4 Si 0.500 0.500 0.000
Rh1 Rh 0.000 0.500 0.878
Rh2 Rh 0.500 0.000 0.122
Rh3 Rh 0.500 0.500 0.500
# - space group = P-4m2
# - size of the total moment (μB/f.u.) = 0.00
# - energy (eV per cell) = -63.3
# - ΔE_f (raw) (eV/atom) = -0.89

***

# SbPdI2N, optimized geometry, DFT GGA-PBE
data_SbPdI2N
_cell_length_a 6.044
_cell_length_b 6.044
_cell_length_c 3.923
_cell_angle_alpha 90.00
_cell_angle_beta 90.00
_cell_angle_gamma 90.00
_symmetry_space_group_name_H-M 'P 1'
_symmetry_Int_Tables_number 1
loop_
_symmetry_equiv_pos_as_xyz
'x,y,z'
loop_
_atom_site_label
_atom_site_type_symbol
_atom_site_fract_x
_atom_site_fract_y
_atom_site_fract_z
Sb1 Sb 0.000 0.000 0.000
Pd1 Pd 0.500 0.500 0.500
I1 I 0.000 0.500 0.000
I2 I 0.500 0.000 0.000
N1 N 0.000 0.000 0.500
# - space group = P4/mmm
# - size of the total moment (μB/f.u.) = 0.73
# - relative energy among the computed polymorphs (meV/atom) = 183.6
# - energy (eV per cell) = -16.3
# - ΔE_f (raw) (eV/atom) = 0.89

***

# Ho3MnGa12, optimized geometry, DFT GGA-PBE
data_Ho3MnGa12
_cell_length_a 4.213
_cell_length_b 4.213
_cell_length_c 16.644
_cell_angle_alpha 90.00
_cell_angle_beta 90.00
_cell_angle_gamma 90.00
_symmetry_space_group_name_H-M 'P 1'
_symmetry_Int_Tables_number 1
loop_
_symmetry_equiv_pos_as_xyz
'x,y,z'
loop_
_atom_site_label
_atom_site_type_symbol
_atom_site_fract_x
_atom_site_fract_y
_atom_site_fract_z
Ho1 Ho 0.000 0.000 0.000
Ho2 Ho 0.000 0.000 0.261
Ho3 Ho 0.000 0.000 0.739
Mn1 Mn 0.000 0.000 0.500
Ga1 Ga 0.000 0.500 0.130
Ga2 Ga 0.000 0.500 0.390
Ga3 Ga 0.000 0.500 0.610
Ga4 Ga 0.000 0.500 0.870
Ga5 Ga 0.500 0.000 0.130
Ga6 Ga 0.500 0.000 0.390
Ga7 Ga 0.500 0.000 0.610
Ga8 Ga 0.500 0.000 0.870
Ga9 Ga 0.500 0.500 0.000
Ga10 Ga 0.500 0.500 0.253
Ga11 Ga 0.500 0.500 0.500
Ga12 Ga 0.500 0.500 0.747
# - space group = P4/mmm
# - size of the total moment (μB/f.u.) = 3.30
# - energy (eV per cell) = -65.5
# - ΔH_f (0 K) (meV per atom) = -391.6

***

# NbInSn2, optimized geometry, DFT GGA-PBE
data_NbInSn2
_cell_length_a 10.967
_cell_length_b 10.967
_cell_length_c 10.967
_cell_angle_alpha 16.73
_cell_angle_beta 16.73
_cell_angle_gamma 16.73
_symmetry_space_group_name_H-M 'P 1'
_symmetry_Int_Tables_number 1
loop_
_symmetry_equiv_pos_as_xyz
'x,y,z'
loop_
_atom_site_label
_atom_site_type_symbol
_atom_site_fract_x
_atom_site_fract_y
_atom_site_fract_z
Nb1 Nb 0.000 0.000 0.000
In1 In 0.500 0.500 0.500
Sn1 Sn 0.406 0.406 0.406
Sn2 Sn 0.594 0.594 0.594
# - space group = R-3m
# - size of the total moment (μB/f.u.) = 0.00
# - energy (eV per cell) = -20.7
# - ΔH_f (0 K) (meV per atom) = 33.0

***

# Mn2AlRu, optimized geometry, DFT GGA-PBE
data_Mn2AlRu
_cell_length_a 2.945
_cell_length_b 2.945
_cell_length_c 5.874
_cell_angle_alpha 90.00
_cell_angle_beta 90.00
_cell_angle_gamma 90.00
_symmetry_space_group_name_H-M 'P 1'
_symmetry_Int_Tables_number 1
loop_
_symmetry_equiv_pos_as_xyz
'x,y,z'
loop_
_atom_site_label
_atom_site_type_symbol
_atom_site_fract_x
_atom_site_fract_y
_atom_site_fract_z
Mn1 Mn 0.000 0.000 0.000
Mn2 Mn 0.500 0.500 0.224
Al1 Al 0.500 0.500 0.744
Ru1 Ru 0.000 0.000 0.487
# - space group = P4mm
# - size of the total moment (μB/f.u.) = 1.24
# - energy (eV per cell) = -32.2
# - ΔH_f (0 K) (meV per atom) = -218.8

***

# NdTlReO6, optimized geometry, DFT GGA-PBE
data_NdTlReO6
_cell_length_a 5.758
_cell_length_b 5.758
_cell_length_c 4.954
_cell_angle_alpha 90.00
_cell_angle_beta 90.00
_cell_angle_gamma 120.00
_symmetry_space_group_name_H-M 'P 1'
_symmetry_Int_Tables_number 1
loop_
_symmetry_equiv_pos_as_xyz
'x,y,z'
loop_
_atom_site_label
_atom_site_type_symbol
_atom_site_fract_x
_atom_site_fract_y
_atom_site_fract_z
Nd1 Nd 0.000 0.000 0.000
Tl1 Tl 0.667 0.333 0.499
Re1 Re 0.333 0.667 0.999
O1 O 0.064 0.389 0.217
O2 O 0.065 0.676 0.781
O3 O 0.324 0.388 0.781
O4 O 0.324 0.936 0.217
O5 O 0.611 0.676 0.217
O6 O 0.612 0.935 0.781
# - space group = P3
# - size of the total moment (μB/f.u.) = 0.00
# - energy (eV per cell) = -65.2
# - ΔE_f (raw) (eV/atom) = -1.77

***

# Ac4GeIrBr2, optimized geometry, DFT GGA-PBE
data_Ac4GeIrBr2
_cell_length_a 8.027
_cell_length_b 4.416
_cell_length_c 8.310
_cell_angle_alpha 90.00
_cell_angle_beta 106.61
_cell_angle_gamma 90.00
_symmetry_space_group_name_H-M 'P 1'
_symmetry_Int_Tables_number 1
loop_
_symmetry_equiv_pos_as_xyz
'x,y,z'
loop_
_atom_site_label
_atom_site_type_symbol
_atom_site_fract_x
_atom_site_fract_y
_atom_site_fract_z
Ac1 Ac 0.217 0.000 0.198
Ac2 Ac 0.249 0.500 0.796
Ac3 Ac 0.751 0.500 0.204
Ac4 Ac 0.783 0.000 0.802
Ge1 Ge 0.500 0.000 0.000
Ir1 Ir 0.000 0.500 0.000
Br1 Br 0.000 0.000 0.500
Br2 Br 0.500 0.500 0.500
# - space group = P2/m
# - size of the total moment (μB/f.u.) = 0.00
# - energy (eV per cell) = -42.2
# - ΔE_f (raw) (eV/atom) = -1.11

***

# Y2Mn2Rh, optimized geometry, DFT GGA-PBE
data_Y2Mn2Rh
_cell_length_a 6.555
_cell_length_b 6.555
_cell_length_c 4.448
_cell_angle_alpha 90.00
_cell_angle_beta 90.00
_cell_angle_gamma 90.00
_symmetry_space_group_name_H-M 'P 1'
_symmetry_Int_Tables_number 1
loop_
_symmetry_equiv_pos_as_xyz
'x,y,z'
loop_
_atom_site_label
_atom_site_type_symbol
_atom_site_fract_x
_atom_site_fract_y
_atom_site_fract_z
Y1 Y 0.181 0.319 0.000
Y2 Y 0.319 0.819 0.000
Y3 Y 0.681 0.181 0.000
Y4 Y 0.819 0.681 0.000
Mn1 Mn 0.119 0.619 0.500
Mn2 Mn 0.381 0.119 0.500
Mn3 Mn 0.619 0.881 0.500
Mn4 Mn 0.881 0.381 0.500
Rh1 Rh 0.000 0.000 0.500
Rh2 Rh 0.500 0.500 0.500
# - space group = P4/mbm
# - size of the total moment (μB/f.u.) = 3.64
# - relative energy among the computed polymorphs (meV/atom) = 0.0
# - energy (eV per cell) = -77.7
# - ΔH_f (0 K) (meV per atom) = -42.3

***

# Al4InAu, optimized geometry, DFT GGA-PBE
data_Al4InAu
_cell_length_a 5.458
_cell_length_b 5.458
_cell_length_c 5.458
_cell_angle_alpha 60.00
_cell_angle_beta 60.00
_cell_angle_gamma 60.00
_symmetry_space_group_name_H-M 'P 1'
_symmetry_Int_Tables_number 1
loop_
_symmetry_equiv_pos_as_xyz
'x,y,z'
loop_
_atom_site_label
_atom_site_type_symbol
_atom_site_fract_x
_atom_site_fract_y
_atom_site_fract_z
Al1 Al 0.125 0.125 0.125
Al2 Al 0.125 0.125 0.625
Al3 Al 0.125 0.625 0.125
Al4 Al 0.625 0.125 0.125
In1 In 0.500 0.500 0.500
Au1 Au 0.750 0.750 0.750
# - space group = F-43m
# - size of the total moment (μB/f.u.) = 0.00
# - energy (eV per cell) = -20.0
# - ΔH_f (0 K) (meV per atom) = 161.3

***

# Li15Tl2Ag2, optimized geometry, DFT GGA-PBE
data_Li15Tl2Ag2
_cell_length_a 7.757
_cell_length_b 7.757
_cell_length_c 7.757
_cell_angle_alpha 62.75
_cell_angle_beta 62.75
_cell_angle_gamma 62.75
_symmetry_space_group_name_H-M 'P 1'
_symmetry_Int_Tables_number 1
loop_
_symmetry_equiv_pos_as_xyz
'x,y,z'
loop_
_atom_site_label
_atom_site_type_symbol
_atom_site_fract_x
_atom_site_fract_y
_atom_site_fract_z
Li1 Li 0.000 0.000 0.500
Li2 Li 0.000 0.309 0.691
Li3 Li 0.000 0.500 0.000
Li4 Li 0.000 0.691 0.309
Li5 Li 0.199 0.560 0.560
Li6 Li 0.309 0.000 0.691
Li7 Li 0.309 0.691 0.000
Li8 Li 0.440 0.440 0.801
Li9 Li 0.440 0.801 0.440
Li10 Li 0.500 0.000 0.000
Li11 Li 0.560 0.199 0.560
Li12 Li 0.560 0.560 0.199
Li13 Li 0.691 0.000 0.309
Li14 Li 0.691 0.309 0.000
Li15 Li 0.801 0.440 0.440
Tl1 Tl 0.090 0.090 0.090
Tl2 Tl 0.910 0.910 0.910
Ag1 Ag 0.293 0.293 0.293
Ag2 Ag 0.707 0.707 0.707
# - space group = R-3m
# - size of the total moment (μB/f.u.) = 0.00
# - energy (eV per cell) = -39.8
# - ΔH_f (0 K) (meV per atom) = -35.7

***

# Tb2ZnGa3Ni12, optimized geometry, DFT GGA-PBE
data_Tb2ZnGa3Ni12
_cell_length_a 6.338
_cell_length_b 6.338
_cell_length_c 6.338
_cell_angle_alpha 83.83
_cell_angle_beta 83.83
_cell_angle_gamma 83.83
_symmetry_space_group_name_H-M 'P 1'
_symmetry_Int_Tables_number 1
loop_
_symmetry_equiv_pos_as_xyz
'x,y,z'
loop_
_atom_site_label
_atom_site_type_symbol
_atom_site_fract_x
_atom_site_fract_y
_atom_site_fract_z
Tb1 Tb 0.165 0.165 0.165
Tb2 Tb 0.835 0.835 0.835
Zn1 Zn 0.500 0.500 0.500
Ga1 Ga 0.000 0.500 0.500
Ga2 Ga 0.500 0.000 0.500
Ga3 Ga 0.500 0.500 0.000
Ni1 Ni 0.102 0.102 0.614
Ni2 Ni 0.102 0.614 0.102
Ni3 Ni 0.217 0.693 0.693
Ni4 Ni 0.307 0.307 0.783
Ni5 Ni 0.307 0.783 0.307
Ni6 Ni 0.386 0.898 0.898
Ni7 Ni 0.614 0.102 0.102
Ni8 Ni 0.693 0.217 0.693
Ni9 Ni 0.693 0.693 0.217
Ni10 Ni 0.783 0.307 0.307
Ni11 Ni 0.898 0.386 0.898
Ni12 Ni 0.898 0.898 0.386
# - space group = R-3m
# - size of the total moment (μB/f.u.) = 0.00
# - energy (eV per cell) = -91.8
# - ΔH_f (0 K) (meV per atom) = -156.6